# 1
Nd2SmTm5Th: relaxed, PBE-GGA.

```
Nd2SmTm5Th
1.0
-4.333 4.333 7.669
4.333 -4.333 7.669
4.333 4.333 -7.669
Nd Sm Tm Th
4 2 10 2
Cartesian
5.341 1.007 0.000
1.007 3.326 0.000
3.326 1.007 7.669
-1.007 3.326 7.669
4.333 0.000 3.835
0.000 4.333 3.835
0.000 0.000 0.000
2.487 1.846 -2.137
2.487 -1.846 5.533
2.487 1.846 2.137
2.487 -1.846 9.806
0.000 0.000 7.669
1.846 6.180 -2.137
1.846 2.487 5.533
1.846 6.180 2.137
1.846 2.487 9.806
0.000 0.000 3.835
0.000 0.000 11.504
```

## Properties
**E_tot**: -4.605 eV per atom

# 2
Nd5SmTm2Th: relaxed, PBE-GGA.

```
Nd5SmTm2Th
1.0
2.841 -10.252 0.000
2.841 10.252 0.000
0.000 0.000 10.612
Nd Sm Tm Th
10 2 4 2
Cartesian
2.841 9.952 5.306
2.841 4.573 8.412
2.841 4.253 1.943
2.841 2.328 5.370
2.841 0.432 2.361
2.841 -0.432 7.667
2.841 -2.328 0.064
2.841 -4.253 7.249
2.841 -4.573 3.106
2.841 -9.952 0.000
2.841 1.877 9.882
2.841 -1.877 4.575
2.841 7.949 2.310
2.841 7.873 8.424
2.841 -7.873 3.118
2.841 -7.949 7.616
2.841 6.177 5.220
2.841 -6.177 10.526
```

## Properties
**E_tot**: -4.831 eV per atom

# 3
NdSm5Tm2Th: relaxed, PBE-GGA.

```
NdSm5Tm2Th
1.0
2.836 -10.159 0.000
2.836 10.159 0.000
0.000 0.000 10.507
Nd Sm Tm Th
2 10 4 2
Cartesian
2.836 8.353 5.254
2.836 -8.353 0.000
2.836 9.687 8.342
2.836 7.887 0.853
2.836 5.980 7.980
2.836 5.622 3.873
2.836 0.317 0.799
2.836 -0.317 6.052
2.836 -5.622 9.126
2.836 -5.980 2.726
2.836 -7.887 6.107
2.836 -9.687 3.088
2.836 2.345 3.915
2.836 2.300 8.285
2.836 -2.300 3.032
2.836 -2.345 9.168
2.836 4.040 0.713
2.836 -4.040 5.967
```

## Properties
**E_tot**: -4.805 eV per atom

# 4
Nd2Sm4TmTh: relaxed, PBE-GGA.

```
Nd2Sm4TmTh
1.0
6.049 0.000 0.000
0.000 6.050 0.000
-0.009 0.000 7.315
Nd Sm Tm Th
2 4 1 1
Cartesian
0.000 0.000 0.000
3.020 3.025 3.657
6.046 3.025 1.813
-0.006 3.025 5.502
3.022 0.000 1.811
3.018 0.000 5.503
-0.005 0.000 3.657
3.024 3.025 0.000
```

## Properties
**E_tot**: -4.900 eV per atom

# 5
NdSm6Y2Th3: relaxed, PBE-GGA.

```
NdSm6Y2Th3
1.0
3.127 -5.412 0.000
3.127 5.412 0.000
-2.089 0.000 11.803
Nd Sm Y Th
1 6 2 3
Cartesian
0.000 0.000 0.000
1.040 1.804 3.017
-0.001 0.000 8.786
1.040 -1.804 3.017
3.125 1.804 8.786
4.166 0.000 3.017
3.125 -1.804 8.786
3.127 1.805 0.000
3.127 -1.805 0.000
2.083 3.610 5.901
2.083 0.000 5.901
2.083 -3.610 5.901
```

## Properties
**E_tot**: -5.659 eV per atom

# 6
Nd6SmY2Th: relaxed, PBE-GGA.

```
Nd6SmY2Th
1.0
4.794 -7.545 0.000
4.794 7.545 0.000
-1.049 0.000 9.571
Nd Sm Y Th
12 2 4 2
Cartesian
2.614 4.266 1.811
3.584 4.953 5.383
4.430 4.953 8.974
3.522 1.688 3.677
6.449 4.266 2.975
5.541 1.688 1.109
2.997 -1.688 8.462
2.089 -4.266 6.596
5.016 -1.688 5.895
4.108 -4.953 0.598
4.955 -4.953 4.188
5.924 -4.266 7.761
4.007 1.402 7.179
4.532 -1.402 2.393
2.295 0.675 0.527
1.770 -0.675 5.313
6.768 0.675 4.259
6.243 -0.675 9.045
4.532 7.004 2.393
4.007 -7.004 7.179
```

## Properties
**E_tot**: -5.224 eV per atom